Model P:
Crystalline LaYP2Cl at its relaxed geometry. Source: Alexandria via LeMat-Bulk, functional PBE.

Summary:
For the density, the calculation gives 3458 kg/m3. The total magnetization is 0.00 μB per formula unit.

Cell: 5.4807 5.4807 5.1993 Å, 90.00 90.00 90.00°
Closest atoms and distances in Å follow each position.
Space group P4/mmm (No. 123)
Symmetry-distinct sites (fractional):
La1 0.0000 0.0000 0.0000 [1 per cell]  2 Cl 2.60, 4 P 2.74
Y1 0.5000 0.5000 0.5000 [1 per cell]  8 P 3.78, 4 Cl 3.88
P1 0.0000 0.5000 0.0000 [2 per cell]  2 La 2.74
Cl1 0.0000 0.0000 0.5000 [1 per cell]  2 La 2.60

=====

Model Q:
Crystalline LaYP2Cl at its relaxed geometry. Source: Alexandria via LeMat-Bulk, functional PBE.

Summary:
For the density, the calculation gives 3866 kg/m3. The total magnetization is 0.00 μB per formula unit.

Cell: 5.2656 5.2656 5.0377 Å, 90.00 90.00 90.00°
Closest atoms and distances in Å follow each position.
Space group P4/mmm (No. 123)
Symmetry-distinct sites (fractional):
La1 0.0000 0.0000 0.0000 [1 per cell]  8 P 3.64, 4 Cl 3.72
Y1 0.5000 0.5000 0.5000 [1 per cell]  2 Cl 2.52, 4 P 2.63
P1 0.0000 0.5000 0.5000 [2 per cell]  2 Y 2.63
Cl1 0.5000 0.5000 0.0000 [1 per cell]  2 Y 2.52

=====

Energetically preferred structure: model Q | next structure: +0.509 eV/atom

=====

Model P:
Crystalline LaYPCl2 at its relaxed geometry. Source: Alexandria via LeMat-Bulk, functional PBE.

Summary:
For the density, the calculation gives 3860 kg/m3. The total magnetization is 0.44 μB per formula unit.

Cell: 5.0703 5.0703 5.5167 Å, 90.00 90.00 90.00°
Closest atoms and distances in Å follow each position.
Space group P4/mmm (No. 123)
Symmetry-distinct sites (fractional):
La1 0.0000 0.0000 0.0000 [1 per cell]  4 P 3.59, 8 Cl 3.75
Y1 0.5000 0.5000 0.5000 [1 per cell]  4 Cl 2.54, 2 P 2.76
P1 0.5000 0.5000 0.0000 [1 per cell]  2 Y 2.76
Cl1 0.0000 0.5000 0.5000 [2 per cell]  2 Y 2.54

=====

Model Q:
Crystalline LaYPCl2 at its relaxed geometry. Source: Alexandria via LeMat-Bulk, functional PBE.

Summary:
For the density, the calculation gives 3258 kg/m3. The total magnetization is 0.96 μB per formula unit.

Cell: 5.3324 5.3324 5.9103 Å, 90.00 90.00 90.00°
Closest atoms and distances in Å follow each position.
Space group P4/mmm (No. 123)
Symmetry-distinct sites (fractional):
La1 0.0000 0.0000 0.0000 [1 per cell]  4 Cl 2.67, 2 P 2.96
Y1 0.5000 0.5000 0.5000 [1 per cell]  4 P 3.77, 8 Cl 3.98
P1 0.0000 0.0000 0.5000 [1 per cell]  2 La 2.96
Cl1 0.0000 0.5000 0.0000 [2 per cell]  2 La 2.67

=====

Energetically preferred structure: model P | next structure: +0.353 eV/atom

=====

Model P:
Crystalline LaZrP2Cl at its relaxed geometry. Source: Alexandria via LeMat-Bulk, functional PBE.

Summary:
For the density, the calculation gives 4359 kg/m3. The total magnetization is 0.00 μB per formula unit.

Cell: 5.0756 5.0756 4.8432 Å, 90.00 90.00 90.00°
Closest atoms and distances in Å follow each position.
Space group P4/mmm (No. 123)
Symmetry-distinct sites (fractional):
La1 0.0000 0.0000 0.0000 [1 per cell]  8 P 3.51, 4 Cl 3.59
Zr1 0.5000 0.5000 0.5000 [1 per cell]  2 Cl 2.42, 4 P 2.54
P1 0.0000 0.5000 0.5000 [2 per cell]  2 Zr 2.54
Cl1 0.5000 0.5000 0.0000 [1 per cell]  2 Zr 2.42

=====

Model Q:
Crystalline LaZrP2Cl at its relaxed geometry. Source: Alexandria via LeMat-Bulk, functional PBE.

Summary:
For the density, the calculation gives 3539 kg/m3. The total magnetization is 0.00 μB per formula unit.

Cell: 5.4661 5.4661 5.1434 Å, 90.00 90.00 90.00°
Closest atoms and distances in Å follow each position.
Space group P4/mmm (No. 123)
Symmetry-distinct sites (fractional):
La1 0.0000 0.0000 0.0000 [1 per cell]  2 Cl 2.57, 4 P 2.73
Zr1 0.5000 0.5000 0.5000 [1 per cell]  8 P 3.75, 4 Cl 3.87
P1 0.0000 0.5000 0.0000 [2 per cell]  2 La 2.73
Cl1 0.0000 0.0000 0.5000 [1 per cell]  2 La 2.57

=====

Energetically preferred structure: model P | next structure: +1.252 eV/atom

=====

Model P:
Crystalline LaPb3Cl at its relaxed geometry. Source: Alexandria via LeMat-Bulk, functional PBE.

Summary:
For the density, the calculation gives 7821 kg/m3. The total magnetization is 0.00 μB per formula unit.

Cell: 5.5287 5.5287 5.5287 Å, 90.00 90.00 90.00°
Closest atoms and distances in Å follow each position.
Space group Pm-3m (No. 221)
Symmetry-distinct sites (fractional):
La1 0.0000 0.0000 0.0000 [1 per cell]  12 Pb 3.91
Pb1 0.0000 0.5000 0.5000 [3 per cell]  2 Cl 2.76
Cl1 0.5000 0.5000 0.5000 [1 per cell]  6 Pb 2.76

=====

Model Q:
Crystalline LaPb3Cl at its relaxed geometry. Source: Alexandria via LeMat-Bulk, functional PBE.

Summary:
For the density, the calculation gives 5509 kg/m3. The total magnetization is 0.00 μB per formula unit.

Cell: 6.2136 6.2136 6.2136 Å, 90.00 90.00 90.00°
Closest atoms and distances in Å follow each position.
Space group Pm-3m (No. 221)
Symmetry-distinct sites (fractional):
La1 0.0000 0.0000 0.0000 [1 per cell]  6 Pb 3.11
Pb1 0.0000 0.0000 0.5000 [3 per cell]  2 La 3.11
Cl1 0.5000 0.5000 0.5000 [1 per cell]  12 Pb 4.39

=====

Energetically preferred structure: model P | next structure: +0.564 eV/atom

=====

Model P:
Crystalline LaPb2Cl at its relaxed geometry. Source: Alexandria via LeMat-Bulk, functional PBE.

Summary:
For the density, the calculation gives 7919 kg/m3. The total magnetization is 0.00 μB per formula unit.

Cell: 3.6243 6.1642 11.0523 Å, 90.00 90.00 90.00°
Closest atoms and distances in Å follow each position.
Space group Imm2 (No. 44)
Symmetry-distinct sites (fractional):
La1 0.0000 0.0000 0.0000 [2 per cell]  2 Cl 2.85
Pb1 0.0000 0.0000 0.5231 [2 per cell]  4 Pb 3.26-3.62, 2 Cl 3.56, 4 La 3.58
Pb2 0.0000 0.5000 0.7774 [2 per cell]  4 Pb 3.26-3.62, 2 La 3.56, 4 Cl 3.58
Cl1 0.0000 0.5000 0.3005 [2 per cell]  2 La 2.85

=====

Model Q:
Crystalline LaPb2Cl at its relaxed geometry. Source: Alexandria via LeMat-Bulk, functional PBE.

Summary:
For the density, the calculation gives 7990 kg/m3. The total magnetization is 0.50 μB per formula unit.

Cell: 3.6576 3.6576 31.6826 Å, 90.00 90.00 120.00°
Closest atoms and distances in Å follow each position.
Space group R-3m (No. 166, hexagonal axes)
Symmetry-distinct sites (fractional):
La1 0.0000 0.0000 0.0000 [3 per cell]  6 Pb 3.61, 6 La 3.66
Pb1 0.0000 0.0000 0.2409 [6 per cell]  3 Cl 3.16
Cl1 0.0000 0.0000 0.5000 [3 per cell]  6 Pb 3.16

=====

Energetically preferred structure: model P | next structure: +0.412 eV/atom

=====

Model P:
Crystalline LaPb2Cl at its relaxed geometry. Source: Alexandria via LeMat-Bulk, functional PBE.

Summary:
For the density, the calculation gives 7675 kg/m3. The total magnetization is 0.00 μB per formula unit.

Cell: 5.3030 5.3526 8.9753 Å, 90.00 90.00 90.00°
Closest atoms and distances in Å follow each position.
Space group Cmm2 (No. 35)
Symmetry-distinct sites (fractional):
La1 0.0000 0.0000 0.0000 [2 per cell]  4 Cl 3.04-3.06
Pb1 0.0000 0.0000 0.4630 [2 per cell]  4 Pb 3.25-3.27
Pb2 0.0000 0.5000 0.2543 [2 per cell]  4 Pb 3.25-3.27, 4 La 3.50-3.52
Cl1 0.0000 0.5000 0.8341 [2 per cell]  4 La 3.04-3.06

=====

Model Q:
Crystalline LaPb2Cl at its relaxed geometry. Source: Alexandria via LeMat-Bulk, functional PBE.

Summary:
For the density, the calculation gives 8050 kg/m3. The total magnetization is 0.00 μB per formula unit.

Cell: 4.8713 4.8713 17.7298 Å, 90.00 90.00 120.00°
Closest atoms and distances in Å follow each position.
Space group R3m (No. 160, hexagonal axes)
Symmetry-distinct sites (fractional):
La1 0.0000 0.0000 0.0000 [3 per cell]  3 Cl 2.88
Pb1 0.0000 0.0000 0.5249 [3 per cell]  3 Pb 3.11, 3 Cl 3.39
Pb2 0.0000 0.0000 0.7827 [3 per cell]  3 Pb 3.11, 3 La 3.48
Cl1 0.0000 0.0000 0.2982 [3 per cell]  3 La 2.88

=====

Model R:
Crystalline LaPb2Cl at its relaxed geometry. Source: Alexandria via LeMat-Bulk, functional PBE.

Summary:
For the density, the calculation gives 8072 kg/m3. The total magnetization is 0.00 μB per formula unit.

Cell: 3.8911 4.5752 13.6064 Å, 90.00 90.00 90.00°
Closest atoms and distances in Å follow each position.
Space group Immm (No. 71)
Symmetry-distinct sites (fractional):
La1 0.0000 0.0000 0.0000 [2 per cell]  4 Cl 3.00
Pb1 0.0000 0.5000 0.2866 [4 per cell]  4 Pb 3.16, 2 La 3.50
Cl1 0.0000 0.0000 0.5000 [2 per cell]  4 La 3.00

=====

Model S:
Crystalline LaPb2Cl at its relaxed geometry. Source: Alexandria via LeMat-Bulk, functional PBE.

Summary:
For the density, the calculation gives 6274 kg/m3. The total magnetization is 0.00 μB per formula unit.

Cell: 10.7140 10.7140 5.4300 Å, 90.00 90.00 90.00°
Closest atoms and distances in Å follow each position.
Space group I-42d (No. 122)
Symmetry-distinct sites (fractional):
La1 0.0000 0.0000 0.0000 [4 per cell]  2 Cl 2.72
Pb1 0.1805 0.2500 0.1250 [8 per cell]  2 Pb 3.10, 2 La 3.37
Cl1 0.0000 0.0000 0.5000 [4 per cell]  2 La 2.72

=====

Energetically preferred structure: model Q | next structure: +0.070 eV/atom